[1]
First-principles (PBE) data for an optimized crystal structure of ErCuHgPt, as listed in the Alexandria database.

abc: 4.7497 4.7497 4.7497
angles: 60.00 60.00 60.00
Sites, in units of the cell vectors:
Hg: 0.5000 0.5000 0.5000
Cu: 0.2500 0.2500 0.2500
Pt: 0.7500 0.7500 0.7500
Er: 0.0000 0.0000 0.0000

total moment	0.00	Bohr magnetons per cell
calculated total energy	-4.246	eV per atom
formation enthalpy at 0 K	-0.496	eV per atom
calculated density	13.73	Mg/m³



[2]
First-principles (PBE) data for an optimized crystal structure of K2Li2Al, as listed in the Alexandria database.

abc: 7.5229 7.5229 6.0096
angles: 90.00 90.00 90.00
Sites, in units of the cell vectors:
Li: 0.6577 0.1577 0.0000
Li: 0.3423 0.8423 0.0000
Li: 0.1577 0.3423 0.0000
Li: 0.8423 0.6577 0.0000
Al: 0.0000 0.0000 0.0000
Al: 0.5000 0.5000 0.0000
K: 0.1874 0.6874 0.5000
K: 0.3126 0.1874 0.5000
K: 0.6874 0.8126 0.5000
K: 0.8126 0.3126 0.5000

total moment	0.00	Bohr magnetons per cell
calculated total energy	-1.739	eV per atom
formation enthalpy at 0 K	0.214	eV per atom
calculated density	1.16	Mg/m³



[3]
First-principles (PBE) data for an optimized crystal structure of Sr2AsHRh, as listed in the Alexandria database.

abc: 5.5070 5.5070 3.5168
angles: 90.00 90.00 90.00
Site moments in Bohr magnetons follow the coordinates.
Sites, in units of the cell vectors:
As: 0.5000 0.5000 0.5000  0.03
Rh: 0.0000 0.0000 0.5000  0.15
Sr: 0.5000 0.0000 0.0000  0.00
Sr: 0.0000 0.5000 0.0000  0.00
H: 0.0000 0.0000 0.0000  0.00

total moment	0.22	Bohr magnetons per cell
calculated total energy	-4.308	eV per atom
calculated density	5.51	Mg/m³



[4]
First-principles (PBE) data for an optimized crystal structure of ZnRe2Cl, as listed in the Alexandria database.

abc: 3.2635 3.2648 6.7126
angles: 90.00 90.00 90.00
Sites, in units of the cell vectors:
Re: 0.0000 0.0000 0.4206
Re: 0.0000 0.0000 0.0794
Cl: 0.5000 0.5000 0.7500
Zn: 0.5000 0.5000 0.2500

total moment	0.00	Bohr magnetons per cell
raw formation energy	21.1	kcal/mol of atoms
calculated total energy	-6.091	eV per atom
calculated density	10.99	Mg/m³



[5]
First-principles (PBE) data for an optimized crystal structure of CdInI2F, as listed in the Alexandria database.

abc: 6.0267 6.0267 4.3896
angles: 90.00 90.00 90.00
Sites, in units of the cell vectors:
In: 0.5000 0.5000 0.5000
I: 0.5000 0.0000 0.0000
I: 0.0000 0.5000 0.0000
F: 0.0000 0.0000 0.5000
Cd: 0.0000 0.0000 0.0000

total moment	0.00	Bohr magnetons per cell
raw formation energy	-21.5	kcal/mol of atoms
calculated total energy	-2.657	eV per atom
calculated density	5.21	Mg/m³



[6]
First-principles (PBE) data for an optimized crystal structure of NaCa2S, as listed in the Alexandria database.

abc: 8.4961 8.4961 7.1684
angles: 53.66 53.66 90.00
Sites, in units of the cell vectors:
S: 0.0000 0.0000 0.0000
S: 0.7500 0.2500 0.5000
Ca: 0.0393 0.6250 0.2500
Ca: 0.3750 0.2893 0.7500
Ca: 0.8750 0.9607 0.7500
Ca: 0.7107 0.1250 0.2500
Na: 0.2500 0.7500 0.5000
Na: 0.5000 0.5000 0.0000

total moment	0.00	Bohr magnetons per cell
raw formation energy	-16.8	kcal/mol of atoms
calculated total energy	-3.090	eV per atom
calculated density	1.59	Mg/m³



[7]
First-principles (PBE) data for an optimized crystal structure of CsTlAu10, as listed in the Alexandria database.

abc: 4.5855 5.8536 10.1480
angles: 90.00 90.00 90.00
Sites, in units of the cell vectors:
Au: 0.5000 0.5000 0.0000
Au: 0.0000 0.5000 0.8136
Au: 0.5000 0.2489 0.2522
Au: 0.5000 0.2489 0.7478
Au: 0.5000 0.7511 0.7478
Au: 0.0000 0.0000 0.6577
Au: 0.0000 0.0000 0.3423
Au: 0.5000 0.0000 0.5000
Au: 0.0000 0.5000 0.1864
Au: 0.5000 0.7511 0.2522
Tl: 0.0000 0.5000 0.5000
Cs: 0.0000 0.0000 0.0000

total moment	0.00	Bohr magnetons per cell
calculated total energy	-3.066	eV per atom
formation enthalpy at 0 K	-0.067	eV per atom
calculated density	14.06	Mg/m³



[8]
First-principles (PBE) data for an optimized crystal structure of ZrReTe2, as listed in the Alexandria database.

abc: 5.1906 5.1906 5.0239
angles: 76.65 76.65 39.92
Sites, in units of the cell vectors:
Zr: 0.4929 0.4929 0.5459
Re: 0.2608 0.2608 0.2187
Te: 0.7543 0.7543 0.6748
Te: 0.9920 0.9920 0.0606

total moment	0.00	Bohr magnetons per cell
raw formation energy	1.5	kcal/mol of atoms
calculated total energy	-6.754	eV per atom
calculated density	10.51	Mg/m³



[9]
First-principles (PBE) data for an optimized crystal structure of CaPm5In3, as listed in the Alexandria database.

abc: 6.8962 9.5736 9.5735
angles: 120.00 90.00 90.00
Sites, in units of the cell vectors:
Pm: 0.7500 0.3348 0.0000
Pm: 0.5000 0.3333 0.6666
Pm: 0.0000 0.6667 0.3334
Pm: 0.2500 0.3348 0.3348
Pm: 0.7500 0.6652 0.6652
Pm: 0.2500 0.6652 0.0000
Pm: 0.5000 0.6667 0.3334
Pm: 0.7500 0.0000 0.3348
Pm: 0.2500 0.0000 0.6652
Pm: 0.0000 0.3333 0.6666
In: 0.2500 0.3324 0.0000
In: 0.2500 0.0000 0.3324
In: 0.2500 0.6676 0.6676
In: 0.7500 0.6676 0.0000
In: 0.7500 0.0000 0.6676
In: 0.7500 0.3324 0.3324
Ca: 0.5000 0.0000 0.0000
Ca: 0.0000 0.0000 0.0000

total moment	0.01	Bohr magnetons per cell
calculated total energy	-4.150	eV per atom
formation enthalpy at 0 K	-0.376	eV per atom
calculated density	6.73	Mg/m³



[10]
First-principles (PBE) data for an optimized crystal structure of CaYRh2, as listed in the Alexandria database.

abc: 5.9132 5.9132 5.9132
angles: 146.01 134.54 57.96
Sites, in units of the cell vectors:
Ca: 0.2397 0.7397 0.5000
Rh: 0.7606 0.2606 0.5000
Rh: 0.9809 0.9809 0.0000
Y: 0.5188 0.5188 0.0000

total moment	0.00	Bohr magnetons per cell
calculated total energy	-6.205	eV per atom
formation enthalpy at 0 K	-0.413	eV per atom
calculated density	6.80	Mg/m³



[11]
First-principles (PBE) data for an optimized crystal structure of HfAgPb2, as listed in the Alexandria database.

abc: 4.5198 4.5198 10.7187
angles: 77.83 77.83 90.00
Sites, in units of the cell vectors:
Pb: 0.6265 0.1250 0.2500
Pb: 0.3750 0.3735 0.7500
Pb: 0.1235 0.6250 0.2500
Pb: 0.8750 0.8765 0.7500
Hf: 0.7500 0.2500 0.5000
Hf: 0.0000 0.0000 0.0000
Ag: 0.2500 0.7500 0.5000
Ag: 0.5000 0.5000 0.0000

total moment	0.00	Bohr magnetons per cell
calculated total energy	-4.671	eV per atom
formation enthalpy at 0 K	0.385	eV per atom
calculated density	11.13	Mg/m³



[12]
First-principles (PBE) data for an optimized crystal structure of Cu2Ag2Te, as listed in the Alexandria database.

abc: 3.8555 3.8555 6.8378
angles: 73.62 73.62 90.00
Sites, in units of the cell vectors:
Te: 0.0000 0.0000 0.0000
Cu: 0.5953 0.5953 0.8093
Cu: 0.4047 0.4047 0.1907
Ag: 0.7500 0.2500 0.5000
Ag: 0.2500 0.7500 0.5000

total moment	0.00	Bohr magnetons per cell
raw formation energy	5.9	kcal/mol of atoms
calculated total energy	-3.152	eV per atom
calculated density	8.38	Mg/m³



- Among the records above, which one has the highest calculated total energy?
  K2Li2Al



- calculated total energy of number 6 (NaCa2S)?
  -3.090 eV per atom